(1)
DFT (PBE-GGA) results for crystalline La4Ce3YTe8 at its relaxed geometry.

Cell: 9.0327 9.0561 9.0292 Å, 119.88 120.01 90.00°
Last column: nearest neighbours and their distance in Å.
Element x y z (fractional)
La: 0.5000 0.0000 0.0000  6 Te 3.27
La: 0.5000 0.0000 0.5000  6 Te 3.22
La: 0.0000 0.0000 0.0000  6 Te 3.22
La: 0.0000 0.0000 0.5000  6 Te 3.22
Ce: 0.5000 0.5000 0.0000  6 Te 3.17
Ce: 0.5000 0.5000 0.5000  6 Te 3.17
Ce: 0.0000 0.5000 0.5000  6 Te 3.17
Y: 0.0000 0.5000 0.0000  6 Te 3.13
Te: 0.2446 0.7408 0.9962  1 Y 3.13, 2 Ce 3.17, 3 La 3.22-3.27
Te: 0.2445 0.7408 0.4891  1 Y 3.13, 2 Ce 3.17, 3 La 3.22-3.27
Te: 0.2519 0.2556 0.5038  3 Ce 3.17, 3 La 3.22
Te: 0.7517 0.7408 0.9962  1 Y 3.13, 2 Ce 3.17, 3 La 3.22-3.27
Te: 0.2483 0.2592 0.0038  1 Y 3.13, 2 Ce 3.17, 3 La 3.22-3.27
Te: 0.7481 0.7444 0.4962  3 Ce 3.17, 3 La 3.22
Te: 0.7555 0.2592 0.5109  1 Y 3.13, 2 Ce 3.17, 3 La 3.22-3.27
Te: 0.7554 0.2592 0.0038  1 Y 3.13, 2 Ce 3.17, 3 La 3.22-3.27

Computed properties:
For the formation energy from raw total energies, the calculation gives -1474 meV/atom.

=====

(2)
DFT (PBE-GGA) results for crystalline ZnRe2W at its relaxed geometry.

Cell: 4.8619 4.8619 4.8619 Å, 133.14 133.14 68.44°
Last column: nearest neighbours and their distance in Å.
Element x y z (fractional)
Re: 0.0000 0.0000 0.0000  4 W 2.73, 4 Re 2.79, 4 Zn 2.79
Re: 0.2500 0.7500 0.5000  4 Zn 2.73, 4 W 2.79, 4 Re 2.79
W: 0.5000 0.5000 0.0000  8 Re 2.73-2.79, 4 Zn 2.79
Zn: 0.7500 0.2500 0.5000  8 Re 2.73-2.79, 4 W 2.79

Computed properties:
The formation energy is 299 meV per atom.

=====

(3)
DFT (PBE-GGA) results for crystalline BeHgAu2 at its relaxed geometry.

Cell: 8.4114 8.4114 8.4114 Å, 21.48 21.48 21.48°
Last column: nearest neighbours and their distance in Å.
Element x y z (fractional)
Be: 0.5075 0.5075 0.5075  3 Au 2.34
Au: 0.9959 0.9959 0.9959  9 Au 2.96-3.13, 3 Hg 3.05
Au: 0.2344 0.2344 0.2344  3 Be 2.34
Hg: 0.7622 0.7622 0.7622  3 Be 2.65

Computed properties:
The formation energy is 139 meV per atom. The distance to the lowest polymorph of the same formula comes out at 170 meV/atom.

=====

Calculated total magnetic moment in order - 3.52 0.00 0.00 Bohr magnetons per cell